{"formula": "Sm6TlTe2Se3", "functional": "PBE-GGA", "state": "relaxed", "lattice": [[9.4500, -2.1104, 0.0000], [9.4500, 2.1104, 0.0000], [-2.0641, 0.0000, 8.5724]], "species": ["Sm", "Sm", "Sm", "Sm", "Sm", "Sm", "Tl", "Te", "Te", "Se", "Se", "Se"], "frac_coords": [[0.0042, 0.0042, 0.2404], [0.3318, 0.3318, 0.4327], [0.3412, 0.3412, 0.8993], [0.6588, 0.6588, 0.1007], [0.6682, 0.6682, 0.5673], [0.9958, 0.9958, 0.7596], [0.5000, 0.5000, 0.5000], [0.1687, 0.1687, 0.8382], [0.8313, 0.8313, 0.1618], [0.1688, 0.1688, 0.3345], [0.5000, 0.5000, 0.0000], [0.8312, 0.8312, 0.6655]], "space_group": "C2/m, No. 12", "e_tot_ev_per_atom": -5.384}

{"formula": "PrInAu2", "functional": "PBE-GGA", "state": "relaxed", "lattice": [[4.9487, 0.0000, 0.0000], [0.0000, 4.9487, 0.0000], [0.0000, 0.0000, 3.8836]], "species": ["Pr", "In", "Au", "Au"], "frac_coords": [[0.0000, 0.0000, 0.0000], [0.5000, 0.5000, 0.0000], [0.0000, 0.5000, 0.5000], [0.5000, 0.0000, 0.5000]], "space_group": "P4/mmm, No. 123", "formation_energy_ev_per_fu": -2.1}

{"formula": "ScMo2Rh", "functional": "PBE-GGA", "state": "relaxed", "lattice": [[1.4378, 0.8301, 9.3312], [-1.4378, 0.8301, 9.3312], [0.0000, -1.6602, 9.3312]], "species": ["Sc", "Mo", "Mo", "Rh"], "frac_coords": [[0.0000, 0.0000, 0.0000], [0.2447, 0.2447, 0.2447], [0.7553, 0.7553, 0.7553], [0.5000, 0.5000, 0.5000]], "space_group": "R-3m, No. 166", "polymorph_energy_kj_per_mol_fu": 163, "formation_energy_ev_per_fu": 0.8}

{"formula": "La3TbPb4", "functional": "PBE-GGA", "state": "relaxed", "lattice": [[9.5443, -2.5907, 0.0000], [9.5443, 2.5907, 0.0000], [-1.3979, 0.0000, 4.9892]], "species": ["La", "La", "La", "Tb", "Pb", "Pb", "Pb", "Pb"], "frac_coords": [[0.0000, 0.0000, 0.0000], [0.2518, 0.2518, 0.2517], [0.7482, 0.7482, 0.7483], [0.5000, 0.5000, 0.5000], [0.1227, 0.1227, 0.6229], [0.3773, 0.3773, 0.8771], [0.6227, 0.6227, 0.1229], [0.8773, 0.8773, 0.3771]], "space_group": "C2/m, No. 12", "formation_energy_ev_per_fu": -4.4}

{"formula": "K2Li2PrBr6", "functional": "PBE-GGA", "state": "relaxed", "lattice": [[7.3013, 0.0000, 0.0000], [-3.6506, 6.3231, 0.0000], [0.0000, 0.0000, 7.7699]], "species": ["K", "K", "Li", "Li", "Pr", "Br", "Br", "Br", "Br", "Br", "Br"], "frac_coords": [[0.3333, 0.6667, 0.9995], [0.6667, 0.3333, 0.0005], [0.3333, 0.6667, 0.4988], [0.6667, 0.3333, 0.5012], [0.0000, 0.0000, 0.5000], [0.0004, 0.3546, 0.2963], [0.9996, 0.6454, 0.7037], [0.3542, 0.9996, 0.2963], [0.3546, 0.3542, 0.7037], [0.6454, 0.6458, 0.2963], [0.6458, 0.0004, 0.7037]], "space_group": "P-3, No. 147", "e_tot_ev_per_atom": -3.445}

{"formula": "Ac2PmPrSb4", "functional": "PBE-GGA", "state": "relaxed", "lattice": [[8.0726, 0.0000, 0.0000], [0.0000, 4.6640, 0.0000], [-2.6891, 0.0000, 7.6235]], "species": ["Ac", "Ac", "Pm", "Pr", "Sb", "Sb", "Sb", "Sb"], "frac_coords": [[0.0000, 0.0000, 0.0000], [0.5000, 0.5000, 0.0000], [0.0000, 0.5000, 0.5000], [0.5000, 0.0000, 0.5000], [0.2433, 0.0000, 0.7350], [0.2527, 0.5000, 0.2638], [0.7473, 0.5000, 0.7362], [0.7567, 0.0000, 0.2650]], "space_group": "P2/m, No. 10", "e_tot_ev_per_atom": -5.471}

For the records above, the corresponding DOS at the Fermi energy values read 6.0; 1.6; 3.9; 7.9; 5.8; 0.9 states/eV/f.u..
For the records above, the corresponding total magnetic moment values read 0.0; 0.0; 0.0; 0.0; 1.0; 0.0 μB per formula unit.